A geometry-optimized LaPm8Sc2 structure, computed with PBE.

Its energy relative to the elements is 122 meV/atom. Its relative energy among the computed polymorphs is 0.0 meV/atom.

The structure belongs to space group Immm (No. 71); the cell edges are 5.5061, 8.4285 and 15.7422 Å and the angles 90.00°, 90.00° and 90.00°. Symmetry generates all atoms from La at (0.0000, 0.0000, 0.0000), Pm at (0.0000, 0.1991, 0.5000), Pm at (0.0000, 0.2973, 0.1457), Pm at (0.0000, 0.5000, 0.3381) and Sc at (0.0000, 0.0000, 0.2998).